{"formula": "FePt3Rh6", "functional": "PBE-GGA", "state": "relaxed", "lattice": [[5.0434, 0.0000, 0.0000], [-2.5217, 4.3677, 0.0000], [0.0000, 0.0000, 6.8583]], "species": ["Fe", "Pt", "Pt", "Pt", "Rh", "Rh", "Rh", "Rh", "Rh", "Rh"], "frac_coords": [[0.0000, 0.0000, 0.0000], [0.0000, 0.0000, 0.5000], [0.3333, 0.6667, 0.5000], [0.6667, 0.3333, 0.5000], [0.0000, 0.3983, 0.8177], [0.0000, 0.6017, 0.1823], [0.3983, 0.0000, 0.8177], [0.3983, 0.3983, 0.1823], [0.6017, 0.0000, 0.1823], [0.6017, 0.6017, 0.8177]], "formation_enthalpy_0k_ev_per_fu": 2.1, "vol_a3_per_cell": 151, "magnetic_moment_mub_per_cell": 2.70}